DFT (PBE+U) results for CrBrF2 after structural relaxation.

Summary:
Its space-group type is No. 166. For the total energy, the calculation gives -19.3 eV for the cell shown.

Cell: 8.8766 8.8766 8.8766 Å, 21.58 21.58 21.58°
Closest atoms and distances in Å follow each position.
Fractional coordinates of all 4 atoms:
Cr: 0.0000 0.0000 0.0000  6 F 2.10
Br: 0.5000 0.5000 0.5000  6 Br 3.32, 2 F 3.47
F: 0.3666 0.3666 0.3666  3 Cr 2.10
F: 0.6334 0.6334 0.6334  3 Cr 2.10